[1]
Compound: SrTl
Source: the Alexandria database
Functional: PBE
Structure: relaxed

## Properties
Size of the total moment: 0.00 μB/atom
DFT formation energy: -223 meV per atom

Cell: 4.433 4.460 7.714 Å, 90.00 90.00 90.00°
Space group Pmmn (No. 59, origin choice 2)
Symmetry-distinct sites (fractional):
1 Sr 0.250 0.250 0.179 [2 per cell]
2 Tl 0.250 0.250 0.618 [2 per cell]


[2]
Compound: GaCuNiIr
Source: the Alexandria database
Functional: PBE
Structure: relaxed

## Properties
Size of the total moment: 0.00 μB/atom
Polymorph energy (0 for the lowest one): 0.022 eV/atom
DFT formation energy: -196 meV per atom

Cell: 3.558 3.776 3.843 Å, 90.00 90.00 90.00°
Space group Pmmm (No. 47)
Symmetry-distinct sites (fractional):
1 Ga 0.000 0.000 0.000 [1 per cell]
2 Cu 0.000 0.500 0.500 [1 per cell]
3 Ni 0.500 0.000 0.500 [1 per cell]
4 Ir 0.500 0.500 0.000 [1 per cell]


[3]
Compound: KSnB
Source: the Alexandria database
Functional: PBE
Structure: relaxed

## Properties
Size of the total moment: 0.00 μB/atom
DFT formation energy: 211 meV per atom

Cell: 11.883 3.229 8.402 Å, 90.00 90.00 90.00°
Space group Pnma (No. 62)
Symmetry-distinct sites (fractional):
1 K 0.248 0.250 0.037 [4 per cell]
2 Sn 0.006 0.750 0.282 [4 per cell]
3 B 0.000 0.000 0.000 [4 per cell]


[4]
Compound: BeFe2SbS
Source: the Alexandria database
Functional: PBE
Structure: relaxed

## Properties
Size of the total moment: 0.81 μB/atom
E_form (uncorrected): 8.5 kcal/mol of atoms

Cell: 4.392 4.392 3.873 Å, 90.00 90.00 90.00°
Space group P4/mmm (No. 123)
Symmetry-distinct sites (fractional):
1 Be 0.000 0.000 0.000 [1 per cell]
2 Fe 0.000 0.500 0.500 [2 per cell]
3 Sb 0.500 0.500 0.000 [1 per cell]
4 S 0.000 0.000 0.500 [1 per cell]


[5]
Compound: CaAlCuGe2
Source: the Alexandria database
Functional: PBE
Structure: relaxed

## Properties
Size of the total moment: 0.00 μB/atom
DFT formation energy: -342 meV per atom

Cell: 4.148 4.148 11.060 Å, 90.00 90.00 90.00°
Space group I-4m2 (No. 119)
Symmetry-distinct sites (fractional):
1 Ca 0.000 0.000 0.000 [2 per cell]
2 Al 0.000 0.500 0.750 [2 per cell]
3 Cu 0.000 0.500 0.250 [2 per cell]
4 Ge 0.000 0.000 0.384 [4 per cell]


[6]
Compound: LaEuDy2
Source: the Alexandria database
Functional: PBE
Structure: relaxed

## Properties
Size of the total moment: 1.78 μB/atom
Polymorph energy (0 for the lowest one): 0.096 eV/atom
DFT formation energy: 150 meV per atom

Cell: 8.248 8.248 8.248 Å, 90.00 90.00 90.00°
Space group Fm-3m (No. 225)
Symmetry-distinct sites (fractional):
1 La 0.000 0.000 0.000 [4 per cell]
2 Eu 0.000 0.000 0.500 [4 per cell]
3 Dy 0.250 0.250 0.250 [8 per cell]


| no. | total DFT energy (no corrections) (eV for the cell shown) |
| --- | --- |
| 1 | -9.0 |
| 2 | -22.6 |
| 3 | -44.6 |
| 4 | -27.1 |
| 5 | -41.6 |
| 6 | -95.2 |